12
Lattice="6.922 -3.141 0.000 6.922 3.141 0.000 -2.417 0.000 6.990" Properties=species:S:1:pos:R:3 comment="RbCrAgO3 | Alexandria via LeMat-Bulk | GGA+U | optimized geometry" energy_ev_per_cell=-64.8 pbc="T T T"
Rb 1.854 0.000 0.557
Rb 9.572 0.000 6.432
Cr 6.110 0.000 1.002
Cr 5.316 0.000 5.988
Ag 5.713 1.564 3.495
Ag 5.713 -1.564 3.495
O 4.727 1.513 5.334
O 6.700 1.513 1.655
O 4.708 0.000 0.141
O 6.719 0.000 6.848
O 4.727 -1.513 5.334
O 6.700 -1.513 1.655